#P
Below is LiCoBPd after structural relaxation, with properties calculated at the GGA-PBE level.

Properties
Calculated density (Mg/m³): 7.8
Space-group type: F-43m
Calculated volume (A^3/atom): 9.79

Unit cell a=3.8113 b=3.8113 c=3.8113 alpha=60.00 beta=60.00 gamma=60.00
With the nearest neighbours (Å) after each atom.
Element x y z (fractional)
Li: 0.0000 0.0000 0.0000  4 Pd 2.33, 4 Co 2.33
Co: 0.7500 0.7500 0.7500  4 B 2.33, 4 Li 2.33
B: 0.5000 0.5000 0.5000  4 Co 2.33, 4 Pd 2.33
Pd: 0.2500 0.2500 0.2500  4 B 2.33, 4 Li 2.33


#Q
Below is LiCoBPd after structural relaxation, with properties calculated at the GGA-PBE level.

Properties
Calculated density (Mg/m³): 7.1
Space-group type: F-43m
Calculated volume (A^3/atom): 10.72

Unit cell a=3.9282 b=3.9282 c=3.9282 alpha=60.00 beta=60.00 gamma=60.00
With the nearest neighbours (Å) after each atom.
Element x y z (fractional)
Li: 0.0000 0.0000 0.0000  4 B 2.41, 4 Pd 2.41
Co: 0.5000 0.5000 0.5000  4 Pd 2.41, 4 B 2.41
B: 0.2500 0.2500 0.2500  4 Co 2.41, 4 Li 2.41
Pd: 0.7500 0.7500 0.7500  4 Co 2.41, 4 Li 2.41


The structure with the greatest stability is #P.


#P
Below is LiCoBPt after structural relaxation, with properties calculated at the GGA-PBE level.

Properties
Calculated density (Mg/m³): 11.5
Space-group type: F-43m
Calculated volume (A^3/atom): 9.85

Unit cell a=3.8193 b=3.8193 c=3.8193 alpha=60.00 beta=60.00 gamma=60.00
With the nearest neighbours (Å) after each atom.
Element x y z (fractional)
Li: 0.0000 0.0000 0.0000  4 Co 2.34, 4 Pt 2.34
Co: 0.7500 0.7500 0.7500  4 Li 2.34, 4 B 2.34
B: 0.5000 0.5000 0.5000  4 Co 2.34, 4 Pt 2.34
Pt: 0.2500 0.2500 0.2500  4 Li 2.34, 4 B 2.34


#Q
Below is LiCoBPt after structural relaxation, with properties calculated at the GGA-PBE level.

Properties
Calculated density (Mg/m³): 10.3
Space-group type: F-43m
Calculated volume (A^3/atom): 10.99

Unit cell a=3.9613 b=3.9613 c=3.9613 alpha=60.00 beta=60.00 gamma=60.00
With the nearest neighbours (Å) after each atom.
Element x y z (fractional)
Li: 0.0000 0.0000 0.0000  4 Pt 2.43, 4 B 2.43
Co: 0.5000 0.5000 0.5000  4 B 2.43, 4 Pt 2.43
B: 0.2500 0.2500 0.2500  4 Co 2.43, 4 Li 2.43
Pt: 0.7500 0.7500 0.7500  4 Co 2.43, 4 Li 2.43


The structure with the greatest stability is #P.


#P
Below is LiScCoB after structural relaxation, with properties calculated at the GGA-PBE level.

Properties
Calculated density (Mg/m³): 4.5
Space-group type: F-43m
Calculated volume (A^3/atom): 11.25

Unit cell a=3.9927 b=3.9927 c=3.9927 alpha=60.00 beta=60.00 gamma=60.00
With the nearest neighbours (Å) after each atom.
Element x y z (fractional)
Li: 0.0000 0.0000 0.0000  4 Co 2.45, 4 Sc 2.45
Sc: 0.7500 0.7500 0.7500  4 Li 2.45, 4 B 2.45
Co: 0.2500 0.2500 0.2500  4 Li 2.45, 4 B 2.45
B: 0.5000 0.5000 0.5000  4 Co 2.45, 4 Sc 2.45


#Q
Below is LiScCoB after structural relaxation, with properties calculated at the GGA-PBE level.

Properties
Calculated density (Mg/m³): 4.4
Space-group type: F-43m
Calculated volume (A^3/atom): 11.37

Unit cell a=4.0064 b=4.0064 c=4.0064 alpha=60.00 beta=60.00 gamma=60.00
With the nearest neighbours (Å) after each atom.
Element x y z (fractional)
Li: 0.0000 0.0000 0.0000  4 B 2.45, 4 Sc 2.45
Sc: 0.2500 0.2500 0.2500  4 Co 2.45, 4 Li 2.45
Co: 0.5000 0.5000 0.5000  4 B 2.45, 4 Sc 2.45
B: 0.7500 0.7500 0.7500  4 Co 2.45, 4 Li 2.45


#R
Below is LiScCoB after structural relaxation, with properties calculated at the GGA-PBE level.

Properties
Calculated density (Mg/m³): 4.1
Space-group type: F-43m
Calculated volume (A^3/atom): 12.18

Unit cell a=4.1001 b=4.1001 c=4.1001 alpha=60.00 beta=60.00 gamma=60.00
With the nearest neighbours (Å) after each atom.
Element x y z (fractional)
Li: 0.0000 0.0000 0.0000  4 Co 2.51, 4 B 2.51
Sc: 0.5000 0.5000 0.5000  4 Co 2.51, 4 B 2.51
Co: 0.7500 0.7500 0.7500  4 Sc 2.51, 4 Li 2.51
B: 0.2500 0.2500 0.2500  4 Li 2.51, 4 Sc 2.51


The structure with the greatest stability is #P.